[1]
First-principles (PBE) data for a relaxed TlSb3As crystal, as listed in the Alexandria database.

Cell and atoms, written as POSCAR:
```
TlSb3As
1.0
5.474 0.000 0.000
0.000 5.474 0.000
0.000 0.000 5.474
Tl Sb As
1 3 1
Cartesian
0.000 0.000 0.000
0.000 2.737 2.737
2.737 0.000 2.737
2.737 2.737 0.000
2.737 2.737 2.737
```

Properties
**Calculated volume**: 32.8 A^3/atom
**Symmetry**: Pm-3m
**Total moment**: 0.0 μB per formula unit
**Polymorph energy (0 for the lowest one)**: 0 meV per atom


[2]
First-principles (PBE) data for a relaxed CrNiTe3 crystal, as listed in the Alexandria database.

Cell and atoms, written as POSCAR:
```
CrNiTe3
1.0
6.989 0.000 0.000
0.000 3.981 0.000
-3.229 0.000 9.825
Cr Ni Te
2 2 6
Cartesian
-0.941 0.995 3.236
4.701 2.986 6.589
2.957 2.986 1.576
0.803 0.995 8.249
0.563 2.986 2.362
-0.459 0.995 5.953
-0.634 2.986 8.847
4.394 0.995 0.978
4.219 2.986 3.872
3.197 0.995 7.463
```

Properties
**Calculated volume**: 27.3 A^3/atom
**Symmetry**: P2_1/m
**Total moment**: 3.0 μB per formula unit
**Polymorph energy (0 for the lowest one)**: 82 meV per atom


[3]
First-principles (PBE) data for a relaxed CaTa2Fe crystal, as listed in the Alexandria database.

Cell and atoms, written as POSCAR:
```
CaTa2Fe
1.0
-1.604 2.405 4.831
1.604 -2.405 4.831
1.604 2.405 -4.831
Ca Ta Fe
1 2 1
Cartesian
0.000 0.000 0.000
0.000 0.000 4.037
0.000 2.405 2.063
1.604 0.000 2.306
```

Properties
**Calculated volume**: 18.6 A^3/atom
**Symmetry**: Imm2
**Calculated formation energy**: 579 meV/atom
**Total moment**: 0.9 μB per formula unit
**Polymorph energy (0 for the lowest one)**: 274 meV per atom


[4]
First-principles (PBE) data for a relaxed Ca4Zn3Ir2 crystal, as listed in the Alexandria database.

Cell and atoms, written as POSCAR:
```
Ca4Zn3Ir2
1.0
7.801 -2.065 0.000
7.801 2.065 0.000
-2.268 0.000 6.632
Ca Zn Ir
4 3 2
Cartesian
0.344 0.000 2.403
2.371 0.000 5.451
10.963 0.000 1.181
12.991 0.000 4.229
5.659 0.000 1.792
7.801 0.000 0.000
7.676 0.000 4.840
-0.641 0.000 6.265
13.976 0.000 0.367
```

Properties
**Calculated volume**: 23.7 A^3/atom
**Symmetry**: C2/m
**Calculated formation energy**: -347 meV/atom
**Total moment**: 0.0 μB per formula unit


[5]
First-principles (PBE) data for a relaxed Th4SbC2N crystal, as listed in the Alexandria database.

Cell and atoms, written as POSCAR:
```
Th4SbC2N
1.0
-3.350 3.350 4.302
3.350 -3.350 4.302
3.350 3.350 -4.302
Th Sb C N
4 1 2 1
Cartesian
1.992 -1.992 2.877
1.358 1.358 1.425
-1.992 1.992 2.877
1.992 1.992 5.727
0.000 0.000 4.302
3.350 0.000 2.151
0.000 3.350 2.151
0.000 0.000 0.000
```

Properties
**Calculated volume**: 24.1 A^3/atom
**Symmetry**: I-42m
**E_tot**: -7.973 eV per atom
**Total moment**: 1.3 μB per formula unit


[6]
First-principles (PBE) data for a relaxed Ti3ZnAu crystal, as listed in the Alexandria database.

Cell and atoms, written as POSCAR:
```
Ti3ZnAu
1.0
4.880 0.000 0.000
0.000 4.880 0.000
0.000 0.000 4.880
Ti Zn Au
3 1 1
Cartesian
0.000 0.000 2.440
0.000 2.440 0.000
2.440 0.000 0.000
2.440 2.440 2.440
0.000 0.000 0.000
```

Properties
**Calculated volume**: 23.2 A^3/atom
**Symmetry**: Pm-3m
**Calculated formation energy**: 793 meV/atom
**Total moment**: 0.0 μB per formula unit
**Polymorph energy (0 for the lowest one)**: 908 meV per atom


Q: Which of these has the highest calculated volume?
A: TlSb3As